No. 1
VASP calculation (PBE) on an optimized crystal structure of Hf2AgHg.

The calculation puts the volume at 83.2 Å³/cell. The total energy is -21.8 eV per cell.

abc: 4.8995 4.8995 4.8995
angles: 60.00 60.00 60.00
Closest atoms and distances in Å follow each position.
Atoms (fractional coordinates):
1 Hf 0.0000 0.0000 0.0000  4 Hf 3.00, 4 Ag 3.00
2 Hf 0.2500 0.2500 0.2500  4 Hg 3.00, 4 Hf 3.00
3 Ag 0.7500 0.7500 0.7500  4 Hg 3.00, 4 Hf 3.00
4 Hg 0.5000 0.5000 0.5000  4 Ag 3.00, 4 Hf 3.00

---

No. 2
VASP calculation (PBE) on an optimized crystal structure of Y2SiW.

The calculation puts the volume at 81.7 Å³/cell. The total energy is -30.0 eV per cell.

abc: 4.8699 4.8699 4.8699
angles: 60.00 60.00 60.00
Closest atoms and distances in Å follow each position.
Atoms (fractional coordinates):
1 Y 0.0000 0.0000 0.0000  4 W 2.98, 4 Y 2.98
2 Y 0.2500 0.2500 0.2500  4 Si 2.98, 4 Y 2.98
3 Si 0.5000 0.5000 0.5000  4 W 2.98, 4 Y 2.98
4 W 0.7500 0.7500 0.7500  4 Si 2.98, 4 Y 2.98

---

No. 3
VASP calculation (PBE) on an optimized crystal structure of CsPrYTe3.

The calculation puts the volume at 519.0 Å³/cell. The total energy is -58.5 eV per cell.

abc: 9.0473 9.0473 12.2394
angles: 90.00 90.00 148.80
Closest atoms and distances in Å follow each position.
Atoms (fractional coordinates):
1 Cs 0.2422 0.7578 0.7500  8 Te 3.95-4.19
2 Cs 0.7578 0.2422 0.2500  8 Te 3.95-4.19
3 Pr 0.5000 0.5000 0.0000  6 Te 3.25-3.30
4 Pr 0.5000 0.5000 0.5000  6 Te 3.25-3.30
5 Y 0.0342 0.9658 0.2500  4 Te 2.93-2.97
6 Y 0.9658 0.0342 0.7500  4 Te 2.93-2.97
7 Te 0.1235 0.8765 0.0476  1 Y 2.93
8 Te 0.1235 0.8765 0.4524  1 Y 2.93
9 Te 0.4364 0.5636 0.2500  2 Y 2.97, 2 Pr 3.25
10 Te 0.5636 0.4364 0.7500  2 Y 2.97, 2 Pr 3.25
11 Te 0.8765 0.1235 0.5476  1 Y 2.93
12 Te 0.8765 0.1235 0.9524  1 Y 2.93

---

No. 4
VASP calculation (PBE) on an optimized crystal structure of DyTePb2O6.

The calculation puts the volume at 148.5 Å³/cell. The total energy is -60.6 eV per cell.

abc: 5.9443 5.9443 5.9443
angles: 60.00 60.00 60.00
Closest atoms and distances in Å follow each position.
Atoms (fractional coordinates):
1 Dy 0.0000 0.0000 0.0000  6 O 2.20
2 Te 0.5000 0.5000 0.5000  6 O 2.01
3 Pb 0.2500 0.2500 0.2500  12 O 2.97
4 Pb 0.7500 0.7500 0.7500  12 O 2.97
5 O 0.2611 0.2611 0.7389  1 Te 2.01, 1 Dy 2.20
6 O 0.2611 0.7389 0.2611  1 Te 2.01, 1 Dy 2.20
7 O 0.2611 0.7389 0.7389  1 Te 2.01, 1 Dy 2.20
8 O 0.7389 0.2611 0.2611  1 Te 2.01, 1 Dy 2.20
9 O 0.7389 0.2611 0.7389  1 Te 2.01, 1 Dy 2.20
10 O 0.7389 0.7389 0.2611  1 Te 2.01, 1 Dy 2.20

---

No. 5
VASP calculation (PBE) on an optimized crystal structure of GdTePS3.

The calculation puts the volume at 343.3 Å³/cell. The total energy is -61.8 eV per cell.

abc: 6.6167 6.6536 7.9115
angles: 85.32 88.68 81.45
Closest atoms and distances in Å follow each position.
Atoms (fractional coordinates):
1 Gd 0.2096 0.2028 0.0520  6 S 2.85-2.93, 1 Te 3.09
2 Gd 0.7904 0.7972 0.9480  6 S 2.85-2.93, 1 Te 3.09
3 Te 0.2751 0.3941 0.3855  1 P 2.41
4 Te 0.7249 0.6059 0.6145  1 P 2.41
5 P 0.2462 0.6962 0.1914  3 S 2.08-2.09
6 P 0.7538 0.3038 0.8086  3 S 2.08-2.09
7 S 0.0079 0.0882 0.7667  1 P 2.08
8 S 0.2234 0.6193 0.9431  1 P 2.08
9 S 0.4840 0.8676 0.2067  1 P 2.09
10 S 0.5160 0.1324 0.7933  1 P 2.09
11 S 0.7766 0.3807 0.0569  1 P 2.08
12 S 0.9921 0.9118 0.2333  1 P 2.08

---

No. 6
VASP calculation (PBE) on an optimized crystal structure of Li6AgIr.

The calculation puts the volume at 112.4 Å³/cell. The total energy is -23.8 eV per cell.

abc: 4.3070 4.3070 6.0616
angles: 90.00 90.00 90.00
Closest atoms and distances in Å follow each position.
Atoms (fractional coordinates):
1 Li 0.0000 0.0000 0.0000  8 Li 2.58
2 Li 0.0000 0.5000 0.2339  5 Li 2.58-2.84, 2 Ir 2.58, 2 Ag 2.69
3 Li 0.0000 0.5000 0.7661  5 Li 2.58-2.84, 2 Ir 2.58, 2 Ag 2.69
4 Li 0.5000 0.0000 0.2339  5 Li 2.58-2.84, 2 Ir 2.58, 2 Ag 2.69
5 Li 0.5000 0.0000 0.7661  5 Li 2.58-2.84, 2 Ir 2.58, 2 Ag 2.69
6 Li 0.5000 0.5000 0.5000  8 Li 2.69
7 Ag 0.0000 0.0000 0.5000  8 Li 2.69
8 Ir 0.5000 0.5000 0.0000  8 Li 2.58

---

No. 7
VASP calculation (PBE) on an optimized crystal structure of HfFeCoB.

The calculation puts the volume at 49.1 Å³/cell. The total energy is -31.4 eV per cell.

abc: 4.1099 4.1099 4.1099
angles: 60.00 60.00 60.00
Closest atoms and distances in Å follow each position.
Atoms (fractional coordinates):
1 Hf 0.0000 0.0000 0.0000  4 Fe 2.52, 4 B 2.52
2 Fe 0.7500 0.7500 0.7500  4 Hf 2.52, 4 Co 2.52
3 Co 0.5000 0.5000 0.5000  4 Fe 2.52, 4 B 2.52
4 B 0.2500 0.2500 0.2500  4 Hf 2.52, 4 Co 2.52

---

No. 8
VASP calculation (PBE) on an optimized crystal structure of PmYB4.

The calculation puts the volume at 75.7 Å³/cell. The total energy is -40.6 eV per cell.

abc: 5.1775 5.1775 5.1775
angles: 142.64 112.60 79.68
Closest atoms and distances in Å follow each position.
Atoms (fractional coordinates):
1 Pm 0.0000 0.0000 0.0000  12 B 2.75-2.77
2 Y 0.5000 0.5000 0.0000  12 B 2.75-2.77
3 B 0.0847 0.7511 0.3335  3 B 1.91-1.92
4 B 0.4176 0.7511 0.6665  3 B 1.91-1.92
5 B 0.5824 0.2489 0.3335  3 B 1.91-1.92
6 B 0.9153 0.2489 0.6665  3 B 1.91-1.92

---

No. 9
VASP calculation (PBE) on an optimized crystal structure of TmBiB.

The calculation puts the volume at 66.4 Å³/cell. The total energy is -14.1 eV per cell.

abc: 4.5443 4.5443 4.5443
angles: 60.00 60.00 60.00
Closest atoms and distances in Å follow each position.
Atoms (fractional coordinates):
1 Tm 0.0000 0.0000 0.0000  4 B 2.78
2 Bi 0.5000 0.5000 0.5000  4 B 2.78
3 B 0.7500 0.7500 0.7500  4 Bi 2.78, 4 Tm 2.78

---

No. 10
VASP calculation (PBE) on an optimized crystal structure of LiErZnTe3.

The calculation puts the volume at 343.3 Å³/cell. The total energy is -45.6 eV per cell.

abc: 7.4767 7.4767 11.3803
angles: 90.00 90.00 147.34
Closest atoms and distances in Å follow each position.
Atoms (fractional coordinates):
1 Li 0.2014 0.7986 0.7500  4 Te 3.04, 2 Zn 3.32
2 Li 0.7986 0.2014 0.2500  4 Te 3.04, 2 Zn 3.32
3 Er 0.0000 0.0000 0.0000  6 Te 3.05-3.15
4 Er 0.0000 0.0000 0.5000  6 Te 3.05-3.15
5 Zn 0.4777 0.5223 0.2500  4 Te 2.67-2.69
6 Zn 0.5223 0.4777 0.7500  4 Te 2.67-2.69
7 Te 0.0942 0.9058 0.2500  2 Zn 2.69
8 Te 0.3569 0.6431 0.0714  1 Zn 2.67
9 Te 0.3569 0.6431 0.4286  1 Zn 2.67
10 Te 0.6431 0.3569 0.5714  1 Zn 2.67
11 Te 0.6431 0.3569 0.9286  1 Zn 2.67
12 Te 0.9058 0.0942 0.7500  2 Zn 2.69

---

No. 11
VASP calculation (PBE) on an optimized crystal structure of NaInCoBi.

The calculation puts the volume at 80.6 Å³/cell. The total energy is -14.2 eV per cell.

abc: 4.8488 4.8488 4.8488
angles: 60.00 60.00 60.00
Closest atoms and distances in Å follow each position.
Atoms (fractional coordinates):
1 Na 0.0000 0.0000 0.0000  4 In 2.97, 4 Bi 2.97
2 In 0.7500 0.7500 0.7500  4 Co 2.97, 4 Na 2.97
3 Co 0.5000 0.5000 0.5000  4 In 2.97, 4 Bi 2.97
4 Bi 0.2500 0.2500 0.2500  4 Co 2.97, 4 Na 2.97

---

No. 12
VASP calculation (PBE) on an optimized crystal structure of Dy2Ho3TmBi2Os.

The calculation puts the volume at 249.5 Å³/cell. The total energy is -51.6 eV per cell.

abc: 4.2247 8.2512 8.2512
angles: 119.83 90.00 90.00
Closest atoms and distances in Å follow each position.
Atoms (fractional coordinates):
1 Dy 0.0000 0.1169 0.8831  2 Os 2.87
2 Dy 0.0000 0.8831 0.1169  2 Os 2.87
3 Ho 0.5000 0.2704 0.2704  1 Os 3.24, 4 Bi 3.31, 4 Dy 3.50
4 Ho 0.5000 0.4971 0.8825  1 Os 3.17, 4 Bi 3.32-3.33, 2 Tm 3.48, 2 Dy 3.50
5 Ho 0.5000 0.8825 0.4971  1 Os 3.17, 4 Bi 3.32-3.33, 2 Tm 3.48, 2 Dy 3.50
6 Tm 0.0000 0.6498 0.6498  2 Os 2.84
7 Bi 0.0000 0.2180 0.5498  1 Tm 3.23, 2 Dy 3.25, 6 Ho 3.31-3.33
8 Bi 0.0000 0.5498 0.2180  1 Tm 3.23, 2 Dy 3.25, 6 Ho 3.31-3.33
9 Os 0.5000 0.8794 0.8794  2 Tm 2.84, 4 Dy 2.87, 2 Ho 3.17

---

> Number 11 is which compound?

NaInCoBi

---

> What is the volume in the sixth record?

112.4 Å³/cell

---

> Number 6 is which compound?

Li6AgIr

---

> Among the records above, which one has the highest volume?

CsPrYTe3